Model one:
# GGA-PBE KMn2Pt2, relaxed
data_KMn2Pt2
_chemical_formula_sum 'K1 Mn2 Pt2'
_cell_length_a 4.163
_cell_length_b 4.163
_cell_length_c 6.072
_cell_angle_alpha 69.95
_cell_angle_beta 69.95
_cell_angle_gamma 90.00
_space_group_name_H-M_alt 'P 1'
_space_group_IT_number 1
_space_group_name_Hall 'P 1'
loop_
_atom_site_label
_atom_site_type_symbol
_atom_site_fract_x
_atom_site_fract_y
_atom_site_fract_z
Mn1 Mn 0.250 0.750 0.500
K1 K 0.000 0.000 0.000
Mn2 Mn 0.750 0.250 0.500
Pt1 Pt 0.626 0.626 0.749
Pt2 Pt 0.374 0.374 0.251
# * space group: No. 139
# * DOS(E_F): 10.479 states/eV/f.u.
# * magnetic moment: 0.000 μB/atom


Model two:
# GGA-PBE KMn2Pt2, relaxed
data_KMn2Pt2
_chemical_formula_sum 'K2 Mn4 Pt4'
_cell_length_a 8.065
_cell_length_b 8.065
_cell_length_c 2.844
_cell_angle_alpha 90.00
_cell_angle_beta 90.00
_cell_angle_gamma 90.00
_space_group_name_H-M_alt 'P 1'
_space_group_IT_number 1
_space_group_name_Hall 'P 1'
loop_
_atom_site_label
_atom_site_type_symbol
_atom_site_fract_x
_atom_site_fract_y
_atom_site_fract_z
K1 K 0.500 0.500 0.000
Pt1 Pt 0.848 0.652 0.000
K2 K 0.000 0.000 0.000
Mn1 Mn 0.136 0.636 0.500
Pt2 Pt 0.152 0.348 0.000
Pt3 Pt 0.348 0.848 0.000
Mn2 Mn 0.864 0.364 0.500
Pt4 Pt 0.652 0.152 0.000
Mn3 Mn 0.364 0.136 0.500
Mn4 Mn 0.636 0.864 0.500
# * space group: No. 127
# * DOS(E_F): 2.064 states/eV/f.u.
# * magnetic moment: 1.760 μB/atom


How far above the most stable structure does each one sit? In kJ/mol of atoms: model one 59.6; model two 0.0.


Model one:
# GGA-PBE KMnRe3, relaxed
data_KMnRe3
_chemical_formula_sum 'K1 Mn1 Re3'
_cell_length_a 4.592
_cell_length_b 4.592
_cell_length_c 4.592
_cell_angle_alpha 90.00
_cell_angle_beta 90.00
_cell_angle_gamma 90.00
_space_group_name_H-M_alt 'P 1'
_space_group_IT_number 1
_space_group_name_Hall 'P 1'
loop_
_atom_site_label
_atom_site_type_symbol
_atom_site_fract_x
_atom_site_fract_y
_atom_site_fract_z
Re1 Re 0.000 0.000 0.500
Re2 Re 0.000 0.500 0.000
Mn1 Mn 0.000 0.000 0.000
Re3 Re 0.500 0.000 0.000
K1 K 0.500 0.500 0.500
# * space group: No. 221
# * DOS(E_F): 4.509 states/eV/f.u.
# * magnetic moment: 0.466 μB/atom


Model two:
# GGA-PBE KMnRe3, relaxed
data_KMnRe3
_chemical_formula_sum 'K1 Mn1 Re3'
_cell_length_a 4.410
_cell_length_b 4.410
_cell_length_c 4.410
_cell_angle_alpha 90.00
_cell_angle_beta 90.00
_cell_angle_gamma 90.00
_space_group_name_H-M_alt 'P 1'
_space_group_IT_number 1
_space_group_name_Hall 'P 1'
loop_
_atom_site_label
_atom_site_type_symbol
_atom_site_fract_x
_atom_site_fract_y
_atom_site_fract_z
Mn1 Mn 0.500 0.500 0.500
Re1 Re 0.500 0.000 0.000
K1 K 0.000 0.000 0.000
Re2 Re 0.000 0.000 0.500
Re3 Re 0.000 0.500 0.000
# * space group: No. 221
# * DOS(E_F): 10.537 states/eV/f.u.
# * magnetic moment: 0.000 μB/atom


How far above the most stable structure does each one sit? In kJ/mol of atoms: model one 0.0; model two 212.6.


Model one:
# GGA-PBE K2MnRe, relaxed
data_K2MnRe
_chemical_formula_sum 'K2 Mn1 Re1'
_cell_length_a 2.947
_cell_length_b 3.811
_cell_length_c 10.280
_cell_angle_alpha 90.00
_cell_angle_beta 90.00
_cell_angle_gamma 90.00
_space_group_name_H-M_alt 'P 1'
_space_group_IT_number 1
_space_group_name_Hall 'P 1'
loop_
_atom_site_label
_atom_site_type_symbol
_atom_site_fract_x
_atom_site_fract_y
_atom_site_fract_z
Re1 Re 0.500 0.500 0.345
K1 K 0.500 0.500 0.668
K2 K 0.000 0.000 0.082
Mn1 Mn 0.000 0.000 0.406
# * space group: No. 25
# * DOS(E_F): 3.479 states/eV/f.u.
# * magnetic moment: 0.567 μB/atom


Model two:
# GGA-PBE K2MnRe, relaxed
data_K2MnRe
_chemical_formula_sum 'K2 Mn1 Re1'
_cell_length_a 5.469
_cell_length_b 5.469
_cell_length_c 5.469
_cell_angle_alpha 60.00
_cell_angle_beta 60.00
_cell_angle_gamma 60.00
_space_group_name_H-M_alt 'P 1'
_space_group_IT_number 1
_space_group_name_Hall 'P 1'
loop_
_atom_site_label
_atom_site_type_symbol
_atom_site_fract_x
_atom_site_fract_y
_atom_site_fract_z
K1 K 0.250 0.250 0.250
Re1 Re 0.500 0.500 0.500
K2 K 0.750 0.750 0.750
Mn1 Mn 0.000 0.000 0.000
# * space group: No. 225
# * DOS(E_F): 14.844 states/eV/f.u.
# * magnetic moment: 1.134 μB/atom


Model three:
# GGA-PBE K2MnRe, relaxed
data_K2MnRe
_chemical_formula_sum 'K2 Mn1 Re1'
_cell_length_a 5.204
_cell_length_b 5.204
_cell_length_c 5.204
_cell_angle_alpha 120.01
_cell_angle_beta 120.01
_cell_angle_gamma 89.99
_space_group_name_H-M_alt 'P 1'
_space_group_IT_number 1
_space_group_name_Hall 'P 1'
loop_
_atom_site_label
_atom_site_type_symbol
_atom_site_fract_x
_atom_site_fract_y
_atom_site_fract_z
K1 K 0.000 0.000 0.000
K2 K 0.250 0.750 0.500
Mn1 Mn 0.500 0.500 0.000
Re1 Re 0.750 0.250 0.500
# * space group: No. 216
# * DOS(E_F): 2.699 states/eV/f.u.
# * magnetic moment: 0.505 μB/atom


Model four:
# GGA-PBE K2MnRe, relaxed
data_K2MnRe
_chemical_formula_sum 'K2 Mn1 Re1'
_cell_length_a 3.903
_cell_length_b 3.903
_cell_length_c 5.845
_cell_angle_alpha 90.00
_cell_angle_beta 90.00
_cell_angle_gamma 90.00
_space_group_name_H-M_alt 'P 1'
_space_group_IT_number 1
_space_group_name_Hall 'P 1'
loop_
_atom_site_label
_atom_site_type_symbol
_atom_site_fract_x
_atom_site_fract_y
_atom_site_fract_z
K1 K 0.000 0.000 0.000
K2 K 0.500 0.500 0.000
Re1 Re 0.000 0.500 0.500
Mn1 Mn 0.500 0.000 0.500
# * space group: No. 123
# * DOS(E_F): 2.749 states/eV/f.u.
# * magnetic moment: 0.513 μB/atom


How far above the most stable structure does each one sit? In kJ/mol of atoms: model one 0.0; model two 136.2; model three 80.7; model four 68.1.